4
Lattice="4.8600 0.0000 0.0000 0.0000 4.8600 0.0000 0.0000 0.0000 2.7845" Properties=species:S:1:pos:R:3 comment="ReSi2Br | Alexandria via LeMat-Bulk | PBE-GGA | relaxed" total_energy_ev_per_atom=-5.349 n_ef_per_ev_cell=3.6 relative_energy_ev_per_atom=0.732 m_tot_mub_per_atom=0.00 spacegroup=P4/mmm mass_density_g_cm3=8.1 formation_energy_uncorrected_mev_per_atom=893 pbc="T T T"
Re 0.0000 2.4300 1.3922
Si 2.4300 2.4300 0.0000
Si 0.0000 0.0000 0.0000
Br 2.4300 0.0000 1.3922



4
Lattice="3.0989 0.0000 0.0000 0.0000 3.1151 0.0034 0.0000 6.2237 7.1353" Properties=species:S:1:pos:R:3 comment="ReSi2Br | Alexandria via LeMat-Bulk | PBE-GGA | relaxed" total_energy_ev_per_atom=-6.081 n_ef_per_ev_cell=1.4 relative_energy_ev_per_atom=0.000 m_tot_mub_per_atom=0.00 spacegroup=Pmmm mass_density_g_cm3=7.8 formation_energy_uncorrected_mev_per_atom=161 pbc="T T T"
Br 1.5494 2.3347 1.7847
Re 1.5494 7.0041 5.3540
Si 0.0000 8.5598 6.6977
Si 0.0000 5.4484 4.0103



4
Lattice="4.7659 0.0453 -0.0124 -0.9125 4.6780 -0.0124 0.5459 0.6692 2.9244" Properties=species:S:1:pos:R:3 comment="ReSi2Br | Alexandria via LeMat-Bulk | PBE-GGA | relaxed" total_energy_ev_per_atom=-5.420 n_ef_per_ev_cell=2.7 relative_energy_ev_per_atom=0.661 m_tot_mub_per_atom=0.07 spacegroup=C2/m mass_density_g_cm3=8.2 formation_energy_uncorrected_mev_per_atom=822 pbc="T T T"
Si 1.9267 2.3616 -0.0124
Si 0.0000 0.0000 0.0000
Re -0.1833 2.6736 1.4560
Br 2.6559 0.3572 1.4560